No. 1
19
Lattice="-2.2239 -0.5416 -8.0531 -7.9568 -0.5197 2.5515 -0.2769 8.3658 -0.1669" Properties=species:S:1:pos:R:3 comment="La12Ag6Ge (GGA-PBE, relaxed)" formation_enthalpy_0k_mev_per_atom=-124.9 total_energy_ev_per_atom=-4.38 n_ef_per_ev_cell=24.5 pbc="T T T"
Ag -6.2222 2.0859 0.7779
Ag -8.5447 1.3867 -3.4341
Ag -4.2353 5.2185 -6.4465
Ag -4.0851 0.5319 -5.1674
Ag -1.9128 5.9178 -2.2345
Ag -6.3725 6.7726 -0.5012
La -8.6624 0.2541 -0.2743
La -7.5994 3.9013 -1.7112
La -7.1864 -0.7227 -5.4645
La -7.2563 5.0143 2.0570
La -1.7951 7.0503 -5.3943
La -2.8582 3.4032 -3.9573
La -4.1878 4.2008 -0.4766
La -5.0767 6.2284 -3.3665
La -3.2712 8.0272 -0.2041
La -3.2013 2.2902 -7.7256
La -6.2698 3.1037 -5.1920
La -5.3809 1.0760 -2.3021
Ge 0.0000 0.0000 0.0000

No. 2
4
Lattice="-1.1136 -2.4639 -2.2936 1.9218 -2.4488 1.6975 -7.2368 -1.8591 5.5108" Properties=species:S:1:pos:R:3 comment="EuThIn2 (GGA-PBE, relaxed)" formation_enthalpy_0k_mev_per_atom=-368.5 relative_energy_ev_per_atom=0.000 total_energy_ev_per_atom=-6.16 n_ef_per_ev_cell=8.2 pbc="T T T"
Th 0.4041 -2.4563 -0.2980
In -5.4385 -1.3972 4.1414
In -1.7982 -0.4620 1.3694
Eu -3.2143 -3.3859 2.4574

No. 3
4
Lattice="4.0707 -0.0096 0.0172 2.0442 3.5202 0.0172 1.9935 1.1445 8.7933" Properties=species:S:1:pos:R:3 comment="La2MgRu (GGA-PBE, relaxed)" formation_enthalpy_0k_mev_per_atom=-107.7 total_energy_ev_per_atom=-5.29 n_ef_per_ev_cell=2.7 pbc="T T T"
La 6.1096 3.5075 0.6547
La 4.0595 2.3306 3.7937
Ru 2.0271 1.1638 2.2069
Mg 6.0813 3.4913 6.6208

No. 4
18
Lattice="6.5795 0.0000 0.0000 0.0000 6.5795 0.0000 0.0000 0.0000 11.9890" Properties=species:S:1:pos:R:3 comment="LiPuCuBr6 (GGA-PBE, relaxed)" e_form_raw_ev_per_atom=-1.078 total_energy_ev_per_atom=-4.45 n_ef_per_ev_cell=22.9 pbc="T T T"
Br 2.0135 2.0135 7.9126
Br 5.2358 1.3436 5.9655
Br 4.5881 4.5881 4.1196
Br 5.2811 1.2984 10.1141
Br 4.5659 4.5659 7.9126
Br 1.2984 5.2811 10.1141
Br 1.3436 5.2358 5.9655
Br 1.9914 1.9914 4.1196
Br 1.9461 1.9461 11.9601
Br 5.3032 1.2762 1.9180
Br 1.2762 5.3032 1.9180
Br 4.6334 4.6334 11.9601
Li 0.0000 0.0000 4.0074
Li 3.2897 3.2897 10.0019
Pu 3.2897 3.2897 2.0058
Pu 0.0000 0.0000 8.0003
Cu 0.0000 0.0000 11.9422
Cu 3.2897 3.2897 5.9476

No. 5
6
Lattice="-1.0009 -2.3823 -4.0845 -0.4152 -3.9647 2.4142 -8.6565 3.6433 -0.0037" Properties=species:S:1:pos:R:3 comment="AcBiSb (GGA-PBE, relaxed)" e_form_raw_ev_per_atom=-0.758 relative_energy_ev_per_atom=0.000 total_energy_ev_per_atom=-4.79 n_ef_per_ev_cell=2.8 pbc="T T T"
Sb -1.8470 -3.6026 -1.7356
Sb -8.2256 0.8989 0.0616
Ac -2.0637 -0.2557 -0.7749
Ac -8.0088 -2.4479 -0.8991
Bi -4.9145 -1.7428 0.7910
Bi -5.1581 -0.9608 -2.4650

No. 6
4
Lattice="3.6403 0.0000 0.0000 1.8201 3.1526 0.0000 1.8201 1.0509 11.0328" Properties=species:S:1:pos:R:3 comment="Nd2LuGe (GGA-PBE, relaxed)" formation_enthalpy_0k_mev_per_atom=19.0 relative_energy_ev_per_atom=0.333 total_energy_ev_per_atom=-4.65 n_ef_per_ev_cell=5.1 pbc="T T T"
Nd 5.4604 3.1526 3.3929
Nd 1.8201 1.0509 7.6398
Lu 0.0000 0.0000 0.0000
Ge 3.6403 2.1017 5.5164

No. 7
5
Lattice="-0.9954 -5.8229 0.0726 4.2405 -0.7510 -2.0948 2.5584 -0.3711 5.3122" Properties=species:S:1:pos:R:3 comment="Ca2FeAgSb (GGA-PBE, relaxed)" e_form_raw_ev_per_atom=0.235 total_energy_ev_per_atom=-3.65 n_ef_per_ev_cell=4.3 pbc="T T T"
Sb 0.0000 0.0000 0.0000
Ag 2.9018 -3.4726 1.6450
Ca -0.4977 -2.9115 0.0363
Ca 1.2792 -0.1856 2.6561
Fe 2.1203 -0.3755 -1.0474

No. 8
4
Lattice="-7.8773 2.8526 0.0078 -8.2581 0.7109 1.2194 -7.5238 2.7351 2.4697" Properties=species:S:1:pos:R:3 comment="MnFeNi2 (GGA-PBE, relaxed)" formation_enthalpy_0k_mev_per_atom=63.0 total_energy_ev_per_atom=-7.24 n_ef_per_ev_cell=4.8 pbc="T T T"
Fe -5.9148 1.5746 0.9243
Ni -0.0177 0.0047 0.0028
Ni -11.8118 3.1446 1.8457
Mn -17.7444 4.7239 2.7728

No. 9
10
Lattice="-7.3779 0.1185 0.0245 -0.0763 -3.3966 -6.5502 -0.0611 -4.2656 2.2127" Properties=species:S:1:pos:R:3 comment="ScHg2Se2 (GGA-PBE, relaxed)" e_form_raw_ev_per_atom=-0.437 total_energy_ev_per_atom=-3.22 n_ef_per_ev_cell=7.1 pbc="T T T"
Se -5.9198 -2.3002 -4.5979
Se -5.2165 -0.6125 -1.3250
Se -1.5344 -0.9780 -1.9278
Se -2.2377 -2.6656 -5.2007
Hg -6.4466 -3.2729 -1.2688
Hg -2.7399 -2.5452 0.2365
Hg -1.0688 -4.2709 -3.0442
Hg -4.7754 -4.9986 -4.5495
Sc -3.7271 -1.6391 -3.2628
Sc 0.0000 0.0000 0.0000

No. 10
5
Lattice="-2.1603 1.6213 4.9466 4.4819 -2.1447 2.6603 2.0520 3.8390 -0.3621" Properties=species:S:1:pos:R:3 comment="CdInBr2F (GGA-PBE, relaxed)" e_form_raw_ev_per_atom=-1.119 relative_energy_ev_per_atom=0.058 total_energy_ev_per_atom=-2.89 pbc="T T T"
F 1.0260 1.9195 -0.1811
Cd 0.0000 0.0000 0.0000
In 2.1868 1.6578 3.6224
Br -1.0801 0.8107 2.4733
Br 2.2409 -1.0723 1.3301

No. 11
10
Lattice="-4.5017 -0.5376 -3.9361 2.3687 -3.2495 -4.4583 -2.1107 -5.5352 0.9768" Properties=species:S:1:pos:R:3 comment="InSbPt3 (GGA-PBE, relaxed)" e_form_raw_ev_per_atom=-0.087 relative_energy_ev_per_atom=0.000 total_energy_ev_per_atom=-5.08 n_ef_per_ev_cell=7.7 pbc="T T T"
Pt -4.2891 -7.0775 -3.5669
Pt -0.4607 -4.2821 -5.6768
Pt -0.9409 -7.2767 -5.2321
Pt -1.6633 -6.6174 -2.0539
Pt -3.5768 -4.9925 -6.5949
Pt -4.5611 -3.7860 -3.9545
Sb -0.2821 -0.6198 -0.4931
Sb -2.4039 -5.2809 -4.2019
In -3.5209 -7.7346 -6.1543
In -1.3991 -3.0735 -2.4455

No. 12
10
Lattice="7.6182 -0.1671 0.0894 -0.1676 7.4688 0.0128 -3.6623 -3.6419 5.3751" Properties=species:S:1:pos:R:3 comment="La6Mg2TcO (GGA-PBE, relaxed)" e_form_raw_ev_per_atom=-0.508 total_energy_ev_per_atom=-5.32 n_ef_per_ev_cell=10.4 pbc="T T T"
La 1.9370 1.5894 0.2625
La 2.3165 -1.6339 5.4115
La -0.2237 -0.2222 2.6378
La 1.7798 2.1712 5.0821
La 4.0573 3.9582 2.8044
La 1.5080 5.3897 0.0612
Tc 3.7072 3.3635 0.2344
O -0.1452 7.3944 0.0785
Mg 3.8797 0.1133 2.6547
Mg -0.1070 3.6721 2.7351

No. 13
5
Lattice="-3.0721 -4.3555 -2.3600 4.1072 -0.6870 -4.0787 2.3880 -3.2874 2.9584" Properties=species:S:1:pos:R:3 comment="NaSr2InNi (GGA-PBE, relaxed)" formation_enthalpy_0k_mev_per_atom=-122.7 total_energy_ev_per_atom=-2.76 n_ef_per_ev_cell=3.9 pbc="T T T"
Na 1.7116 -4.1649 -1.7402
Sr 2.0536 -0.3435 -2.0394
Sr -1.5361 -2.1777 -1.1800
Ni 0.0000 0.0000 0.0000
In 1.1940 -1.6437 1.4792

No. 14
8
Lattice="7.6600 0.0000 0.0000 0.0000 7.6600 0.0000 3.8300 3.8300 2.7638" Properties=species:S:1:pos:R:3 comment="Ta2InAg (GGA-PBE, relaxed)" formation_enthalpy_0k_mev_per_atom=781.3 total_energy_ev_per_atom=-6.54 n_ef_per_ev_cell=3.7 pbc="T T T"
In 7.6600 3.8300 1.3819
In 0.0000 0.0000 0.0000
Ta 5.6750 1.9150 0.6910
Ta 9.5750 9.5051 2.0729
Ta 1.9850 5.7450 0.6910
Ta 5.7450 5.8150 2.0729
Ag 3.8300 7.6600 1.3819
Ag 3.8300 3.8300 0.0000

No. 15
5
Lattice="-2.3789 2.3789 2.3789 2.3789 -2.3789 2.3789 2.3789 2.3789 -2.3789" Properties=species:S:1:pos:R:3 comment="ReC4 (GGA-PBE, relaxed)" formation_enthalpy_0k_mev_per_atom=2630.4 relative_energy_ev_per_atom=1.969 total_energy_ev_per_atom=-7.24 n_ef_per_ev_cell=3.0 pbc="T T T"
C 1.1895 1.1895 1.1895
C -1.1895 1.1895 1.1895
C 1.1895 -1.1895 1.1895
C 1.1895 1.1895 -1.1895
Re 0.0000 0.0000 0.0000

No. 16
4
Lattice="3.3644 0.0000 0.0000 0.0000 4.1553 0.0144 0.0000 2.2911 7.4446" Properties=species:S:1:pos:R:3 comment="MoBr (GGA-PBE, relaxed)" e_form_raw_ev_per_atom=0.216 relative_energy_ev_per_atom=0.290 total_energy_ev_per_atom=-6.04 n_ef_per_ev_cell=0.9 pbc="T T T"
Br 1.6822 4.5505 4.8977
Br 0.0000 0.2843 0.6965
Mo 0.0000 3.2407 2.9846
Mo 1.6822 1.5940 2.6095

No. 17
4
Lattice="4.3750 -0.0098 0.0160 1.8819 4.2514 0.0015 0.8725 0.0953 8.3064" Properties=species:S:1:pos:R:3 comment="TlAsBr2 (GGA-PBE, relaxed)" e_form_raw_ev_per_atom=-0.235 relative_energy_ev_per_atom=0.027 total_energy_ev_per_atom=-2.83 pbc="T T T"
Br 1.9987 0.6778 0.9426
Br 5.1108 2.6785 6.0745
Tl 3.2015 3.0016 4.1015
As 1.2584 1.3244 3.1024

No. 18
12
Lattice="-2.7267 -1.4072 2.0533 4.3179 -4.6663 2.5361 3.2895 8.0393 9.8776" Properties=species:S:1:pos:R:3 comment="TaInSe4 (GGA-PBE, relaxed)" e_form_raw_ev_per_atom=-0.551 relative_energy_ev_per_atom=0.000 total_energy_ev_per_atom=-5.31 n_ef_per_ev_cell=2.7 pbc="T T T"
Se 2.7338 -3.7398 4.3866
Se 3.5828 3.3165 7.0308
Se 4.1604 0.4600 9.1593
Se 2.1468 5.7056 10.0805
Se 1.7200 -0.5230 1.9259
Se 0.7202 1.5059 5.3078
Se 3.1606 2.4888 12.5412
Se 1.2978 -1.3507 7.4362
Ta 2.4403 0.9829 7.2335
Ta 0.0000 0.0000 0.0000
In 1.6447 4.0197 4.9388
In 0.7956 -3.0368 2.2947

No. 19
28
Lattice="6.2172 0.0393 0.0364 3.2666 5.2901 0.0364 0.6132 0.3446 9.8815" Properties=species:S:1:pos:R:3 comment="Li4Ti2Cu3Sb3O16 (GGA-PBE, relaxed)" e_form_raw_ev_per_atom=-1.706 total_energy_ev_per_atom=-6.26 n_ef_per_ev_cell=5.4 pbc="T T T"
Cu 4.8166 4.3773 2.0620
Cu 6.2436 1.8378 2.0620
Cu 2.1426 1.2040 7.0613
O 3.8676 0.5818 8.4134
O 6.5513 2.0052 5.8573
O 6.3723 3.5809 1.1916
O 5.0328 2.8282 3.5357
O 3.6716 2.0632 6.0694
O 8.5434 4.8009 6.0997
O 2.5082 3.0010 8.4134
O 6.6374 5.2110 3.5927
O 5.2243 2.9357 8.2455
O 3.0263 3.4517 0.9404
O 7.9026 2.9596 3.5927
O 4.5221 0.7900 0.9404
O 5.1195 4.5531 5.8573
O 0.6085 0.3419 8.0378
O 1.5902 0.8936 0.7832
O 9.5330 5.3570 2.9359
Li 0.4990 0.2804 4.6793
Li 0.0113 0.0064 0.0218
Li 3.3405 1.8772 3.9802
Li 7.0248 3.9475 9.0233
Sb 7.8957 4.4369 2.2182
Sb 3.7520 3.8211 7.1254
Sb 5.2149 1.2178 7.1254
Ti 6.2723 3.5246 4.6130
Ti 2.9956 1.6833 0.0655

No. 20
16
Lattice="10.0036 0.0000 0.0000 0.0000 4.9468 0.0000 0.0000 0.0000 10.2085" Properties=species:S:1:pos:R:3 comment="KZn3 (GGA-PBE, relaxed)" formation_enthalpy_0k_mev_per_atom=132.7 relative_energy_ev_per_atom=0.163 total_energy_ev_per_atom=-1.10 n_ef_per_ev_cell=7.9 pbc="T T T"
Zn 2.5638 3.4868 9.9850
Zn 7.7565 0.2241 2.5521
Zn 7.2488 2.6975 2.5521
Zn 2.4380 1.0134 9.9850
Zn 7.5656 3.9334 0.2235
Zn 7.5656 3.9334 4.8808
Zn 2.4380 1.0134 5.3277
Zn 2.7547 2.2493 7.6564
Zn 7.4398 1.4600 0.2235
Zn 2.2470 4.7228 7.6564
Zn 2.5638 3.4868 5.3277
Zn 7.4398 1.4600 4.8808
K 9.3879 2.2707 7.6564
K 0.6157 2.6761 2.5521
K 4.3861 0.2027 2.5521
K 5.6175 4.7441 7.6564

No. 21
19
Lattice="-7.1704 1.0392 5.4569 -2.8235 -0.8080 -8.5818 4.5665 -7.4619 2.3958" Properties=species:S:1:pos:R:3 comment="Nd12InAg6 (GGA-PBE, relaxed)" formation_enthalpy_0k_mev_per_atom=-137.6 total_energy_ev_per_atom=-4.19 n_ef_per_ev_cell=24.2 pbc="T T T"
Nd -3.7602 -4.5567 5.0323
Nd 0.7547 -7.1416 -2.9420
Nd -2.9226 -5.7282 1.3304
Nd -2.5049 -1.5025 -2.0595
Nd -1.6673 -2.6740 -5.7614
Nd -5.4282 -3.6666 -0.4631
Nd -6.8281 -1.4025 -3.4113
Nd 0.0007 -3.5641 -0.2660
Nd 1.4006 -5.8282 2.6822
Nd -6.1822 -0.0892 2.2129
Nd -2.7937 -5.4524 -2.3645
Nd -2.6338 -1.7783 1.6354
Ag -5.3381 -0.7259 -0.5336
Ag -0.0893 -6.5048 -0.1955
Ag -4.3539 -2.9358 -3.8449
Ag -1.0736 -4.2949 3.1159
Ag -4.9895 -3.1261 2.7733
Ag -0.4380 -4.1047 -3.5024
In 0.0000 0.0000 0.0000

No. 22
10
Lattice="4.3315 0.0000 0.0000 0.0000 4.3315 0.0000 0.0000 0.0000 10.2913" Properties=species:S:1:pos:R:3 comment="Sr2Ga3Cu4Ge (GGA-PBE, relaxed)" formation_enthalpy_0k_mev_per_atom=-299.0 total_energy_ev_per_atom=-3.64 n_ef_per_ev_cell=4.1 pbc="T T T"
Sr 2.1658 0.0000 2.5650
Sr 0.0000 2.1658 7.7263
Ga 2.1658 0.0000 9.0598
Ga 0.0000 0.0000 5.1457
Ga 0.0000 2.1658 1.2315
Cu 2.1658 2.1658 0.0000
Cu 2.1658 0.0000 6.4877
Cu 0.0000 0.0000 0.0000
Cu 0.0000 2.1658 3.8036
Ge 2.1658 2.1658 5.1457

Calculated volume in Å³ per atom, matching the order above: 30.8 29.2 31.5 28.8 34.2 31.7 33.4 11.1 26.2 27.7 20.0 30.9 34.2 20.3 10.8 26.0 38.6 27.7 11.6 31.6 30.2 19.3
Calculated density in g/cm³, matching the order above: 6.77 8.73 5.31 5.08 9.04 7.03 3.63 8.55 7.67 4.86 13.64 5.36 3.61 11.97 7.22 5.62 4.72 6.11 4.80 3.09 7.21 6.12